Below is a crystal of SnTePbI2 relaxed with PBEsol, with properties calculated at the meta-GGA SCAN level.

Cell: 5.894 5.894 5.959 Å, 90.00 90.00 90.00°
Sites, in units of the cell vectors:
Pb: 0.000 0.000 0.000
I: 0.000 0.500 0.000
I: 0.500 0.000 0.000
Te: 0.000 0.000 0.500
Sn: 0.500 0.500 0.500

Summary:
**Electronic total energy**: -44.27 eV per atom
**Formation energy without anion corrections**: 0.213 eV per atom
**SG**: No. 123
**N(E_F)**: 2.08 states/eV/cell